a:
Density functional theory data (GGA-PBE) for crystalline LiYI2O at its relaxed geometry.

ρ: 5.4 g/cm3
SG: P4/mmm, No. 123

Cell lengths 5.418, 5.418, 3.813 Å; angles 90.00, 90.00, 90.00 degrees
Positions (direct):
I  0.000  0.500  0.000
I  0.500  0.000  0.000
Y  0.500  0.500  0.500
O  0.000  0.000  0.500
Li  0.000  0.000  0.000



b:
Density functional theory data (GGA-PBE) for crystalline LiYI2O at its relaxed geometry.

ρ: 3.7 g/cm3
SG: P4/mmm, No. 123

Cell lengths 6.232, 6.232, 4.215 Å; angles 90.00, 90.00, 90.00 degrees
Positions (direct):
I  0.000  0.500  0.000
I  0.500  0.000  0.000
Y  0.000  0.000  0.000
O  0.000  0.000  0.500
Li  0.500  0.500  0.500



The energetic minimum among the shown structures is b; the next structure lies 779 meV per atom above.